PBE-GGA Rb2SrYO, optimized geometry; spin magnetization = 0.0000 μB per atom; space-group type = P4/mmm, No. 123; formation energy (no corrections) = -63.4 kJ/mol of atoms; final energy = -18.33 eV per cell
1.0
7.380 0.000 0.000
0.000 7.380 0.000
0.000 0.000 4.323
Rb Sr Y O
2 1 1 1
direct
0.000 0.500 0.000
0.500 0.000 0.000
0.000 0.000 0.500
0.500 0.500 0.500
0.500 0.500 0.000